Run i
TaSb2Ir (GGA-PBE, relaxed); space-group type = P2/m, No. 10; calculated density = 13.22 g cm⁻³; V = 19.358 Å³ per atom
1.0
3.163 0.000 0.000
0.000 5.607 -0.004
0.000 3.663 4.364
Ta Ir Sb
1 1 2
Cartesian
1.581 4.635 2.180
0.000 1.832 2.182
0.000 0.000 0.000
1.581 2.803 -0.002

Run ii
TaSb2Ir (GGA-PBE, relaxed); space-group type = Fm-3m, No. 225; calculated density = 13.44 g cm⁻³; V = 19.052 Å³ per atom
1.0
1.165 1.422 4.389
0.756 4.615 0.884
-3.124 2.466 2.609
Sb Ta Ir
2 1 1
Cartesian
-0.902 6.377 5.912
-0.301 2.126 1.971
0.000 0.000 0.000
-0.601 4.252 3.941

If you had to bet on the most stable structure above, which would it be? Bet on run i.